1.
First-principles (PBE) data for a relaxed structure of Tb2DyHo3Tm6, as listed in the Alexandria database.

The calculation puts the total magnetization at 0.00 Bohr magnetons per cell. The calculation puts the total DFT energy (no corrections) at -4.51 eV/atom. The value obtained for the density of states at the Fermi level is 1.371 states/eV per atom. The formation energy from the elements comes out at 23 meV per atom.

It has space group C2/m (No. 12), with a = 6.0774 Å, b = 10.5132 Å, c = 11.6032 Å, α = 90.00°, β = 100.02° and γ = 90.00°. The inequivalent atoms are Tb at (0.0000, 0.1666, 0.0000), Dy at (0.0000, 0.5000, 0.0000), Ho at (0.0000, 0.0000, 0.5000), Ho at (0.0000, 0.3334, 0.5000), Tm at (0.2495, 0.5000, 0.7492) and Tm at (0.2496, 0.1666, 0.7493).

2.
First-principles (PBE) data for a relaxed structure of CrNiN3, as listed in the Alexandria database.

The calculation puts the total magnetization at 0.00 Bohr magnetons per cell. As for the energy relative to the elements, uncorrected: 8.09 eV per formula unit. The calculation puts the total DFT energy (no corrections) at -6.46 eV/atom. The value obtained for the density of states at the Fermi level is 0.892 states/eV per atom.

It has space group Pm-3m (No. 221), with a = 3.5773 Å, b = 3.5773 Å, c = 3.5773 Å, α = 90.00°, β = 90.00° and γ = 90.00°. The inequivalent atoms are Cr at (0.0000, 0.0000, 0.0000), Ni at (0.5000, 0.5000, 0.5000) and N at (0.0000, 0.5000, 0.5000).

3.
First-principles (PBE) data for a relaxed structure of BPPt2, as listed in the Alexandria database.

The calculation puts the total magnetization at 0.00 Bohr magnetons per cell. The value obtained for the energy above the most stable polymorph in this dataset is 0.00 eV per formula unit. The calculation puts the total DFT energy (no corrections) at -6.23 eV/atom. The value obtained for the density of states at the Fermi level is 0.393 states/eV per atom. The formation energy from the elements comes out at -189 meV per atom.

It has space group I-42d (No. 122), with a = 4.9479 Å, b = 4.9479 Å, c = 10.6531 Å, α = 90.00°, β = 90.00° and γ = 90.00°. The inequivalent atoms are B at (0.0000, 0.0000, 0.0000), P at (0.0000, 0.0000, 0.5000) and Pt at (0.2065, 0.2500, 0.1250).